First-principles (PBE-GGA) data for an optimized crystal structure of NpZnGa2O8, as listed in Alexandria via LeMat-Bulk.

a = 5.7908 Å, b = 5.7908 Å, c = 5.7908 Å
α = 110.03°, β = 110.03°, γ = 108.36°
Last column: nearest neighbours and their distance in Å.
Fractional coordinates of all 12 atoms:
O 0.4750 0.6805 0.7945  1 Ga 1.83, 1 Np 2.01
O 0.3195 0.1140 0.7945  1 Ga 1.83, 1 Np 2.01
O 0.7439 0.0495 0.6943  1 Ga 1.87, 1 Zn 2.06
O 0.3552 0.0495 0.3057  1 Ga 1.87, 1 Zn 2.06
O 0.9505 0.6448 0.6943  1 Ga 1.87, 1 Zn 2.06
O 0.3195 0.5250 0.2055  1 Ga 1.83, 1 Np 2.01
O 0.9505 0.2561 0.3057  1 Ga 1.87, 1 Zn 2.06
O 0.8860 0.6805 0.2055  1 Ga 1.83, 1 Np 2.01
Zn 0.0000 0.0000 0.0000  4 O 2.06
Ga 0.7500 0.2500 0.5000  4 O 1.87
Ga 0.5000 0.5000 0.0000  4 O 1.83
Np 0.2500 0.7500 0.5000  4 O 2.01

Properties
* uncorrected formation energy: -1.613 eV per atom
* space group: No. 119